[1]
{
  "formula": "NiPtNF2",
  "functional": "PBE with a Hubbard U",
  "state": "relaxed",
  "dft_energy_ev_per_atom": -3.861,
  "m_tot_mub_per_fu": 1.45,
  "lattice": [[4.498, 0.000, 0.000], [0.000, 4.498, 0.000], [0.000, 0.000, 3.683]],
  "species": ["Ni", "Pt", "N", "F", "F"],
  "frac_coords": [[0.000, 0.000, 0.000], [0.500, 0.500, 0.500], [0.500, 0.500, 0.000], [0.000, 0.500, 0.500], [0.500, 0.000, 0.500]]
}

=====

[2]
{
  "formula": "RbNiNF2",
  "functional": "PBE with a Hubbard U",
  "state": "relaxed",
  "dft_energy_ev_per_atom": -4.147,
  "m_tot_mub_per_fu": 4.00,
  "lattice": [[4.316, 0.000, 0.000], [0.000, 4.316, 0.000], [0.000, 0.000, 3.976]],
  "species": ["Rb", "Ni", "N", "F", "F"],
  "frac_coords": [[0.000, 0.000, 0.000], [0.500, 0.500, 0.500], [0.500, 0.500, 0.000], [0.000, 0.500, 0.500], [0.500, 0.000, 0.500]]
}

=====

Quick rundown of volume, same order as above: 74.5; 74.1 Å³ per cell
Quick rundown of E above lowest polymorph, same order as above: 0.040; 0.000 eV per atom